[1]
DFT (PBE) results for a relaxed Ba3Pa4Se12 crystal.

a b c (Å): 9.4912 9.4912 9.4912
angles (deg): 109.47 109.47 109.47
Each line ends with the local moment (μB).
Sites, in units of the cell vectors:
Ba 0.5000 0.5000 0.0000  0.00
Ba 0.0000 0.5000 0.5000  0.00
Ba 0.5000 0.0000 0.5000  0.00
Pa 0.5000 0.5000 0.5000  0.58
Pa 0.5000 0.0000 0.0000  0.58
Pa 0.0000 0.0000 0.5000  0.58
Pa 0.0000 0.5000 0.0000  0.58
Se 0.2231 0.7092 0.9324  -0.02
Se 0.7769 0.2908 0.0676  -0.02
Se 0.2231 0.2908 0.5139  -0.02
Se 0.2908 0.0676 0.7769  -0.02
Se 0.9324 0.2231 0.7092  -0.02
Se 0.4861 0.7769 0.7092  -0.02
Se 0.7092 0.4861 0.7769  -0.02
Se 0.0676 0.7769 0.2908  -0.02
Se 0.7769 0.7092 0.4861  -0.02
Se 0.7092 0.9324 0.2231  -0.02
Se 0.5139 0.2231 0.2908  -0.02
Se 0.2908 0.5139 0.2231  -0.02

Output
Electronic total energy, eV/atom: -6.059
Symmetry: Im-3, No. 204

---

[2]
DFT (PBE) results for a relaxed Pm5SiSb2 crystal.

a b c (Å): 6.1206 7.3831 13.9961
angles (deg): 90.00 90.00 114.49
Sites, in units of the cell vectors:
Pm 0.9460 0.8920 0.8785
Pm 0.9460 0.8920 0.6215
Pm 0.3508 0.7016 0.4186
Pm 0.3508 0.7016 0.0814
Pm 0.6979 0.3958 0.2500
Pm 0.3021 0.6042 0.7500
Pm 0.6492 0.2984 0.5814
Pm 0.6492 0.2984 0.9186
Pm 0.0540 0.1080 0.1215
Pm 0.0540 0.1080 0.3785
Si 0.7801 0.5602 0.7500
Si 0.2199 0.4398 0.2500
Sb 0.8282 0.6564 0.4316
Sb 0.8282 0.6564 0.0684
Sb 0.1718 0.3436 0.5684
Sb 0.1718 0.3436 0.9316

Output
Electronic total energy, eV/atom: -5.166
Symmetry: Cmcm, No. 63

---

> electronic total energy of number 2 (Pm5SiSb2)?

-5.166 eV/atom